# Sr5ZrTi4O15, PBEsol geometry, DFT SCAN
# Formation energy from raw total energies (eV per atom): -3.48
# Offset from the most stable computed form (meV/atom): 7
# Electronic total energy (eV/atom): -15.46
# Volume (A^3/atom): 12.31
data_Sr5ZrTi4O15
_cell_length_a 5.571
_cell_length_b 27.873
_cell_length_c 3.963
_cell_angle_alpha 90.00
_cell_angle_beta 90.00
_cell_angle_gamma 90.00
_symmetry_space_group_name_H-M 'C m m m'
_symmetry_Int_Tables_number 65
_symmetry_space_group_name_Hall '-C 2 2'
loop_
_atom_site_label
_atom_site_fract_x
_atom_site_fract_y
_atom_site_fract_z
_atom_site_occupancy
Sr1 0.000 0.000 0.000 1
Sr2 0.000 0.201 0.000 1
Sr3 0.000 0.395 0.000 1
Zr1 0.000 0.500 0.500 1
Ti1 0.000 0.102 0.500 1
Ti2 0.000 0.299 0.500 1
O1 0.000 0.104 0.000 1
O2 0.000 0.299 0.000 1
O3 0.000 0.500 0.000 1
O4 0.240 0.053 0.500 1
O5 0.247 0.348 0.500 1
O6 0.250 0.250 0.500 1



# Sr5ZrTi4O15, PBEsol geometry, DFT SCAN
# Formation energy from raw total energies (eV per atom): -3.47
# Offset from the most stable computed form (meV/atom): 14
# Electronic total energy (eV/atom): -15.46
# Volume (A^3/atom): 12.35
data_Sr5ZrTi4O15
_cell_length_a 3.960
_cell_length_b 3.960
_cell_length_c 19.678
_cell_angle_alpha 90.00
_cell_angle_beta 90.00
_cell_angle_gamma 90.00
_symmetry_space_group_name_H-M 'P 4/m m m'
_symmetry_Int_Tables_number 123
_symmetry_space_group_name_Hall '-P 4 2'
loop_
_atom_site_label
_atom_site_fract_x
_atom_site_fract_y
_atom_site_fract_z
_atom_site_occupancy
Sr1 0.000 0.000 0.000 1
Sr2 0.000 0.000 0.196 1
Sr3 0.000 0.000 0.391 1
Zr1 0.500 0.500 0.500 1
Ti1 0.500 0.500 0.098 1
Ti2 0.500 0.500 0.295 1
O1 0.000 0.500 0.098 1
O2 0.000 0.500 0.295 1
O3 0.000 0.500 0.500 1
O4 0.500 0.500 0.000 1
O5 0.500 0.500 0.196 1
O6 0.500 0.500 0.393 1



# Sr3Tl2O6, PBEsol geometry, DFT SCAN
# Formation energy from raw total energies (eV per atom): -2.02
# Electronic total energy (eV/atom): -24.65
# Volume (A^3/atom): 15.81
data_Sr3Tl2O6
_cell_length_a 11.848
_cell_length_b 16.898
_cell_length_c 3.475
_cell_angle_alpha 90.00
_cell_angle_beta 90.00
_cell_angle_gamma 90.00
_symmetry_space_group_name_H-M 'P b a m'
_symmetry_Int_Tables_number 55
_symmetry_space_group_name_Hall '-P 2 2ab'
loop_
_atom_site_label
_atom_site_fract_x
_atom_site_fract_y
_atom_site_fract_z
_atom_site_occupancy
Sr1 0.095 0.147 0.000 1
Sr2 0.134 0.543 0.000 1
Sr3 0.175 0.774 0.000 1
Tl1 0.092 0.354 0.500 1
Tl2 0.133 0.958 0.500 1
O1 0.000 0.000 0.000 1
O2 0.000 0.500 0.500 1
O3 0.025 0.671 0.000 1
O4 0.062 0.846 0.500 1
O5 0.185 0.239 0.500 1
O6 0.213 0.067 0.500 1
O7 0.214 0.405 0.000 1



# SrTl3O, PBEsol geometry, DFT SCAN
# Formation energy from raw total energies (eV per atom): 0.98
# Electronic total energy (eV/atom): -48.14
# Volume (A^3/atom): 46.36
data_SrTl3O
_cell_length_a 6.143
_cell_length_b 6.143
_cell_length_c 6.143
_cell_angle_alpha 90.00
_cell_angle_beta 90.00
_cell_angle_gamma 90.00
_symmetry_space_group_name_H-M 'P m -3 m'
_symmetry_Int_Tables_number 221
_symmetry_space_group_name_Hall '-P 4 2 3'
loop_
_atom_site_label
_atom_site_fract_x
_atom_site_fract_y
_atom_site_fract_z
_atom_site_occupancy
Sr1 0.000 0.000 0.000 1
Tl1 0.000 0.000 0.500 1
O1 0.500 0.500 0.500 1



# Sr2UO5, PBEsol geometry, DFT SCAN
# Formation energy from raw total energies (eV per atom): -3.42
# Electronic total energy (eV/atom): -25.82
# Volume (A^3/atom): 15.98
data_Sr2UO5
_cell_length_a 8.036
_cell_length_b 5.650
_cell_length_c 11.865
_cell_angle_alpha 90.00
_cell_angle_beta 108.33
_cell_angle_gamma 90.00
_symmetry_space_group_name_H-M 'P 1 21/c 1'
_symmetry_Int_Tables_number 14
_symmetry_space_group_name_Hall '-P 2ybc'
loop_
_atom_site_label
_atom_site_fract_x
_atom_site_fract_y
_atom_site_fract_z
_atom_site_occupancy
Sr1 0.156 0.069 0.318 1
Sr2 0.340 0.501 0.137 1
U1 0.000 0.000 0.000 1
U2 0.500 0.000 0.000 1
O1 0.020 0.239 0.622 1
O2 0.108 0.710 0.642 1
O3 0.250 0.153 0.998 1
O4 0.394 0.699 0.926 1
O5 0.445 0.169 0.835 1



# Sr3UO6, PBEsol geometry, DFT SCAN
# Formation energy from raw total energies (eV per atom): -3.37
# Electronic total energy (eV/atom): -24.14
# Volume (A^3/atom): 15.91
data_Sr3UO6
_cell_length_a 5.975
_cell_length_b 6.207
_cell_length_c 10.410
_cell_angle_alpha 90.00
_cell_angle_beta 124.51
_cell_angle_gamma 90.00
_symmetry_space_group_name_H-M 'P 1 21/c 1'
_symmetry_Int_Tables_number 14
_symmetry_space_group_name_Hall '-P 2ybc'
loop_
_atom_site_label
_atom_site_fract_x
_atom_site_fract_y
_atom_site_fract_z
_atom_site_occupancy
Sr1 0.000 0.000 0.000 1
Sr2 0.227 0.051 0.743 1
U1 0.500 0.000 0.500 1
O1 0.167 0.177 0.449 1
O2 0.247 0.727 0.422 1
O3 0.394 0.062 0.275 1



# Sr2VO4, PBEsol geometry, DFT SCAN
# Formation energy from raw total energies (eV per atom): -3.06
# Offset from the most stable computed form (meV/atom): 0
# Electronic total energy (eV/atom): -15.49
# Volume (A^3/atom): 12.86
data_Sr2VO4
_cell_length_a 3.783
_cell_length_b 3.783
_cell_length_c 12.583
_cell_angle_alpha 90.00
_cell_angle_beta 90.00
_cell_angle_gamma 90.00
_symmetry_space_group_name_H-M 'I 4/m m m'
_symmetry_Int_Tables_number 139
_symmetry_space_group_name_Hall '-I 4 2'
loop_
_atom_site_label
_atom_site_fract_x
_atom_site_fract_y
_atom_site_fract_z
_atom_site_occupancy
Sr1 0.000 0.000 0.146 1
V1 0.000 0.000 0.500 1
O1 0.000 0.000 0.342 1
O2 0.000 0.500 0.000 1



# Sr5V3O13, PBEsol geometry, DFT SCAN
# Formation energy from raw total energies (eV per atom): -3.05
# Electronic total energy (eV/atom): -14.71
# Volume (A^3/atom): 15.30
data_Sr5V3O13
_cell_length_a 10.0139
_cell_length_b 10.0139
_cell_length_c 7.3980
_cell_angle_alpha 90.00
_cell_angle_beta 90.00
_cell_angle_gamma 120.00
_symmetry_space_group_name_H-M 'P 63'
_symmetry_Int_Tables_number 173
_symmetry_space_group_name_Hall 'P 6c'
loop_
_atom_site_label
_atom_site_fract_x
_atom_site_fract_y
_atom_site_fract_z
_atom_site_occupancy
Sr1 0.0095 0.7540 0.0000 1
Sr2 0.3333 0.6667 0.2487 1
Sr3 0.3333 0.6667 0.7511 1
V1 0.0330 0.6341 0.5000 1
O1 0.0000 0.0000 0.0007 1
O2 0.0945 0.7524 0.6840 1
O3 0.0944 0.7525 0.3160 1
O4 0.1299 0.5325 0.4999 1
O5 0.1641 0.4839 0.0000 1



# Sr2VO4, PBEsol geometry, DFT SCAN
# Formation energy from raw total energies (eV per atom): -2.98
# Offset from the most stable computed form (meV/atom): 85
# Electronic total energy (eV/atom): -15.40
# Volume (A^3/atom): 15.78
data_Sr2VO4
_cell_length_a 14.446
_cell_length_b 5.855
_cell_length_c 10.452
_cell_angle_alpha 90.00
_cell_angle_beta 90.00
_cell_angle_gamma 90.00
_symmetry_space_group_name_H-M 'P n a 21'
_symmetry_Int_Tables_number 33
_symmetry_space_group_name_Hall 'P 2c -2n'
loop_
_atom_site_label
_atom_site_fract_x
_atom_site_fract_y
_atom_site_fract_z
_atom_site_occupancy
Sr1 0.025 0.222 0.107 1
Sr2 0.098 0.233 0.737 1
Sr3 0.149 0.705 0.357 1
Sr4 0.205 0.681 0.000 1
V1 0.027 0.261 0.443 1
V2 0.230 0.783 0.712 1
O1 0.020 0.471 0.891 1
O2 0.027 0.037 0.331 1
O3 0.044 0.817 0.077 1
O4 0.135 0.344 0.506 1
O5 0.147 0.851 0.592 1
O6 0.161 0.412 0.169 1
O7 0.202 0.977 0.841 1
O8 0.234 0.500 0.781 1



# SrV4O9, PBEsol geometry, DFT SCAN
# Formation energy from raw total energies (eV per atom): -2.79
# Electronic total energy (eV/atom): -13.38
# Volume (A^3/atom): 13.13
data_SrV4O9
_cell_length_a 8.291
_cell_length_b 8.291
_cell_length_c 5.347
_cell_angle_alpha 90.00
_cell_angle_beta 90.00
_cell_angle_gamma 90.00
_symmetry_space_group_name_H-M 'P 4/n'
_symmetry_Int_Tables_number 85
loop_
_symmetry_equiv_pos_as_xyz
'x,y,z'
'-x,-y,-z'
'-y+1/2,x,z'
'y+1/2,-x,-z'
'-x+1/2,-y+1/2,z'
'x+1/2,y+1/2,-z'
'y,-x+1/2,z'
'-y,x+1/2,-z'
loop_
_atom_site_label
_atom_site_fract_x
_atom_site_fract_y
_atom_site_fract_z
_atom_site_occupancy
Sr1 0.250 0.250 0.143 1
V1 0.036 0.659 0.380 1
O1 0.006 0.675 0.082 1
O2 0.041 0.142 0.467 1
O3 0.250 0.750 0.500 1



# SrV10O15, PBEsol geometry, DFT SCAN
# Formation energy from raw total energies (eV per atom): -2.58
# Electronic total energy (eV/atom): -13.76
# Volume (A^3/atom): 9.48
data_SrV10O15
_cell_length_a 11.149
_cell_length_b 9.941
_cell_length_c 8.895
_cell_angle_alpha 90.00
_cell_angle_beta 90.00
_cell_angle_gamma 90.00
_symmetry_space_group_name_H-M 'C m c e'
_symmetry_Int_Tables_number 64
_symmetry_space_group_name_Hall '-C 2ac 2'
loop_
_atom_site_label
_atom_site_fract_x
_atom_site_fract_y
_atom_site_fract_z
_atom_site_occupancy
Sr1 0.000 0.000 0.000 1
V1 0.000 0.177 0.380 1
V2 0.127 0.099 0.617 1
V3 0.247 0.169 0.395 1
O1 0.000 0.000 0.500 1
O2 0.000 0.168 0.749 1
O3 0.117 0.228 0.997 1
O4 0.127 0.084 0.260 1
O5 0.244 0.000 0.000 1
O6 0.250 0.178 0.750 1